(1)
! CsNaCu2 | Alexandria | PBE-GGA | relaxed; values from VASP
! Relative energy among the computed polymorphs   0 meV/atom
! Magnetization   0.000 μB/f.u.
! DOS(E_F)   0.0030 states/eV/atom
&SYSTEM
  ibrav = 0, nat = 8, ntyp = 3
/
ATOMIC_SPECIES
Cs 132.91 Cs.upf
Na 22.99 Na.upf
Cu 63.55 Cu.upf
ATOMIC_POSITIONS crystal
Cs 0.0000 0.0000 0.0000
Cs 0.7500 0.2500 0.5000
Na 0.2500 0.7500 0.5000
Na 0.5000 0.5000 0.0000
Cu 0.1848 0.1250 0.5598
Cu 0.3750 0.8152 0.9402
Cu 0.5652 0.6250 0.4402
Cu 0.8750 0.4348 0.0598
CELL_PARAMETERS angstrom
-4.3294 4.3294 3.6336
4.3294 -4.3294 3.6336
4.3294 4.3294 -3.6336


(2)
! InSN3 | Alexandria | PBE-GGA | relaxed; values from VASP
! Magnetization   4.262 μB/f.u.
! Formation energy without anion corrections   2.499 eV/atom
! DOS(E_F)   0.8282 states/eV/atom
&SYSTEM
  ibrav = 0, nat = 5, ntyp = 3
/
ATOMIC_SPECIES
In 114.82 In.upf
S 32.06 S.upf
N 14.01 N.upf
ATOMIC_POSITIONS crystal
In 0.0000 0.0000 0.0000
S 0.5000 0.5000 0.5000
N 0.0000 0.0000 0.5000
N 0.0000 0.5000 0.0000
N 0.5000 0.0000 0.0000
CELL_PARAMETERS angstrom
4.2907 0.0000 0.0000
0.0000 4.2907 0.0000
0.0000 0.0000 4.2907


(3)
! La4P | Alexandria | PBE-GGA | relaxed; values from VASP
! Relative energy among the computed polymorphs   2 meV/atom
! Magnetization   0.000 μB/f.u.
! DOS(E_F)   1.4186 states/eV/atom
&SYSTEM
  ibrav = 0, nat = 5, ntyp = 2
/
ATOMIC_SPECIES
La 138.91 La.upf
P 30.97 P.upf
ATOMIC_POSITIONS crystal
La 0.0647 0.7510 0.8157
La 0.2490 0.0647 0.3136
La 0.7510 0.9353 0.6864
La 0.9353 0.2490 0.1843
P 0.5000 0.5000 0.0000
CELL_PARAMETERS angstrom
-4.6919 4.6919 1.8809
4.6919 -4.6919 1.8809
4.6919 4.6919 -1.8809


(4)
! Zn3Fe | Alexandria | PBE-GGA | relaxed; values from VASP
! Magnetization   2.002 μB/f.u.
! E   -3.04 eV/atom
! DOS(E_F)   0.5193 states/eV/atom
&SYSTEM
  ibrav = 0, nat = 16, ntyp = 2
/
ATOMIC_SPECIES
Zn 65.41 Zn.upf
Fe 55.84 Fe.upf
ATOMIC_POSITIONS crystal
Zn 0.0866 0.2500 0.1247
Zn 0.2404 0.5055 0.3782
Zn 0.2404 0.9945 0.3782
Zn 0.2596 0.0055 0.8782
Zn 0.2596 0.4945 0.8782
Zn 0.4134 0.7500 0.6247
Zn 0.5866 0.2500 0.3753
Zn 0.7404 0.5055 0.1218
Zn 0.7404 0.9945 0.1218
Zn 0.7596 0.0055 0.6218
Zn 0.7596 0.4945 0.6218
Zn 0.9134 0.7500 0.8753
Fe 0.1096 0.2500 0.6400
Fe 0.3904 0.7500 0.1400
Fe 0.6096 0.2500 0.8600
Fe 0.8904 0.7500 0.3600
CELL_PARAMETERS angstrom
4.5637 0.0000 0.0000
0.0000 8.7071 0.0000
0.0000 0.0000 5.4383


(5)
! KCaOs2O8 | Alexandria | PBE-GGA | relaxed; values from VASP
! Magnetization   3.006 μB/f.u.
! Formation energy without anion corrections   -1.445 eV/atom
! DOS(E_F)   0.8076 states/eV/atom
&SYSTEM
  ibrav = 0, nat = 12, ntyp = 4
/
ATOMIC_SPECIES
K 39.10 K.upf
Ca 40.08 Ca.upf
Os 190.23 Os.upf
O 16.00 O.upf
ATOMIC_POSITIONS crystal
K 0.0000 0.0000 0.0000
Ca 0.0000 0.0000 0.5000
Os 0.3333 0.6667 0.7719
Os 0.6667 0.3333 0.2281
O 0.1711 0.3422 0.6957
O 0.1711 0.8289 0.6957
O 0.3333 0.6667 0.0027
O 0.3422 0.1711 0.3043
O 0.6578 0.8289 0.6957
O 0.6667 0.3333 0.9973
O 0.8289 0.1711 0.3043
O 0.8289 0.6578 0.3043
CELL_PARAMETERS angstrom
6.0280 0.0000 0.0000
-3.0140 5.2204 0.0000
0.0000 0.0000 7.6598


(6)
! LiCd2Ir | Alexandria | PBE-GGA | relaxed; values from VASP
! Magnetization   0.000 μB/f.u.
! E   -3.26 eV/atom
! DOS(E_F)   0.3130 states/eV/atom
&SYSTEM
  ibrav = 0, nat = 4, ntyp = 3
/
ATOMIC_SPECIES
Li 6.94 Li.upf
Cd 112.41 Cd.upf
Ir 192.22 Ir.upf
ATOMIC_POSITIONS crystal
Li 0.0000 0.0000 0.0000
Cd 0.5000 0.0000 0.4994
Cd 0.5000 0.5000 0.9972
Ir 0.0000 0.5000 0.4970
CELL_PARAMETERS angstrom
3.1935 0.0000 0.0000
0.0000 4.6205 0.0000
0.0000 0.0000 4.6208